Entry 1:
CaNi2PdN after structural relaxation, computed with PBE.

Cell and atoms, written as CIF:
```
data_CaNi2PdN
_cell_length_a 3.804
_cell_length_b 3.804
_cell_length_c 4.738
_cell_angle_alpha 90.00
_cell_angle_beta 90.00
_cell_angle_gamma 90.00
_symmetry_space_group_name_H-M 'P 1'
_symmetry_Int_Tables_number 1
_symmetry_space_group_name_Hall 'P 1'
loop_
_atom_site_label
_atom_site_type_symbol
_atom_site_fract_x
_atom_site_fract_y
_atom_site_fract_z
Ca1 Ca 0.000 0.000 0.000
Ni1 Ni 0.000 0.500 0.500
Ni2 Ni 0.500 0.000 0.500
Pd1 Pd 0.500 0.500 0.000
N1 N 0.000 0.000 0.500
```

Output
The formation energy (no corrections) is -1.01 eV per formula unit. As for the symmetry: P4/mmm, No. 123. The value obtained for the total energy is -5.62 eV per atom.



Entry 2:
Ca2NiPdN after structural relaxation, computed with PBE.

Cell and atoms, written as CIF:
```
data_Ca2NiPdN
_cell_length_a 5.026
_cell_length_b 5.026
_cell_length_c 3.549
_cell_angle_alpha 90.00
_cell_angle_beta 90.00
_cell_angle_gamma 90.00
_symmetry_space_group_name_H-M 'P 1'
_symmetry_Int_Tables_number 1
_symmetry_space_group_name_Hall 'P 1'
loop_
_atom_site_label
_atom_site_type_symbol
_atom_site_fract_x
_atom_site_fract_y
_atom_site_fract_z
Ca1 Ca 0.000 0.500 0.000
Ca2 Ca 0.500 0.000 0.000
Ni1 Ni 0.000 0.000 0.500
Pd1 Pd 0.500 0.500 0.500
N1 N 0.000 0.000 0.000
```

Output
The formation energy (no corrections) is -3.21 eV per formula unit. As for the symmetry: P4/mmm, No. 123. The value obtained for the total energy is -5.30 eV per atom.



Entry 3:
CaNi2PtN after structural relaxation, computed with PBE.

Cell and atoms, written as CIF:
```
data_CaNi2PtN
_cell_length_a 4.765
_cell_length_b 4.765
_cell_length_c 4.993
_cell_angle_alpha 90.00
_cell_angle_beta 90.00
_cell_angle_gamma 90.00
_symmetry_space_group_name_H-M 'P 1'
_symmetry_Int_Tables_number 1
_symmetry_space_group_name_Hall 'P 1'
loop_
_atom_site_label
_atom_site_type_symbol
_atom_site_fract_x
_atom_site_fract_y
_atom_site_fract_z
Ca1 Ca 0.000 0.000 0.000
Ni1 Ni 0.000 0.500 0.000
Ni2 Ni 0.500 0.000 0.000
Pt1 Pt 0.000 0.000 0.500
N1 N 0.500 0.500 0.500
```

Output
The formation energy (no corrections) is 12.51 eV per formula unit. As for the symmetry: P4/mmm, No. 123. The value obtained for the total energy is -3.08 eV per atom. For the energy above the lowest structure with this stoichiometry, the calculation gives 2680.2 meV/atom.



Entry 4:
CaNi2PtN after structural relaxation, computed with PBE.

Cell and atoms, written as CIF:
```
data_CaNi2PtN
_cell_length_a 3.825
_cell_length_b 3.825
_cell_length_c 4.693
_cell_angle_alpha 90.00
_cell_angle_beta 90.00
_cell_angle_gamma 90.00
_symmetry_space_group_name_H-M 'P 1'
_symmetry_Int_Tables_number 1
_symmetry_space_group_name_Hall 'P 1'
loop_
_atom_site_label
_atom_site_type_symbol
_atom_site_fract_x
_atom_site_fract_y
_atom_site_fract_z
Ca1 Ca 0.000 0.000 0.000
Ni1 Ni 0.000 0.500 0.500
Ni2 Ni 0.500 0.000 0.500
Pt1 Pt 0.500 0.500 0.000
N1 N 0.000 0.000 0.500
```

Output
The formation energy (no corrections) is -0.89 eV per formula unit. As for the symmetry: P4/mmm, No. 123. The value obtained for the total energy is -5.76 eV per atom. For the energy above the lowest structure with this stoichiometry, the calculation gives 0.0 meV/atom.